1.
PBE MgZnSbIr, relaxed; energy above the most stable polymorph in this dataset = 0.0 meV/atom
1.0
6.525 0.000 0.000
0.000 6.525 0.000
0.000 0.000 6.525
Mg Zn Sb Ir
4 4 4 4
direct
0.000 0.000 0.000
0.000 0.500 0.500
0.500 0.000 0.500
0.500 0.500 0.000
0.250 0.250 0.750
0.250 0.750 0.250
0.750 0.250 0.250
0.750 0.750 0.750
0.250 0.250 0.250
0.250 0.750 0.750
0.750 0.250 0.750
0.750 0.750 0.250
0.000 0.000 0.500
0.000 0.500 0.000
0.500 0.000 0.000
0.500 0.500 0.500

***

2.
PBE Mg2ScIr, relaxed; energy = -0.366 Ry/atom
1.0
6.581 0.000 0.000
0.000 6.581 0.000
0.000 0.000 6.581
Mg Sc Ir
8 4 4
direct
0.000 0.000 0.000
0.000 0.500 0.500
0.250 0.250 0.250
0.250 0.750 0.750
0.500 0.000 0.500
0.500 0.500 0.000
0.750 0.250 0.750
0.750 0.750 0.250
0.000 0.000 0.500
0.000 0.500 0.000
0.500 0.000 0.000
0.500 0.500 0.500
0.250 0.250 0.750
0.250 0.750 0.250
0.750 0.250 0.250
0.750 0.750 0.750

***

3.
PBE MgSc2TlIr4, relaxed; energy = -0.515 Ry/atom
1.0
4.548 0.000 0.000
0.000 4.548 0.000
0.000 0.000 6.456
Mg Sc Tl Ir
1 2 1 4
direct
0.000 0.000 0.000
0.000 0.000 0.500
0.500 0.500 0.000
0.500 0.500 0.500
0.000 0.500 0.240
0.000 0.500 0.760
0.500 0.000 0.240
0.500 0.000 0.760

***

4.
PBE Mg2IrSe2, relaxed; energy = -0.316 Ry/atom
1.0
9.352 0.000 0.000
0.000 3.785 0.000
-1.058 0.000 5.432
Mg Ir Se
4 2 4
direct
0.171 0.000 0.283
0.329 0.500 0.717
0.671 0.500 0.283
0.829 0.000 0.717
0.000 0.500 0.500
0.500 0.000 0.500
0.120 0.000 0.774
0.380 0.500 0.226
0.620 0.500 0.774
0.880 0.000 0.226

***

5.
PBE Mg5Ir3Se, relaxed; energy = -0.327 Ry/atom
1.0
7.499 0.000 0.000
-3.750 6.495 0.000
0.000 0.000 2.976
Mg Ir Se
5 3 1
direct
0.000 0.296 0.000
0.296 0.000 0.000
0.333 0.667 0.000
0.667 0.333 0.000
0.704 0.704 0.000
0.000 0.632 0.500
0.368 0.368 0.500
0.632 0.000 0.500
0.000 0.000 0.500

***

6.
PBE Mg5Si10Ir4, relaxed; energy = -0.406 Ry/atom
1.0
12.374 0.000 0.000
0.000 12.374 0.000
0.000 0.000 4.115
Mg Si Ir
10 20 8
direct
0.000 0.000 0.000
0.115 0.385 0.500
0.172 0.672 0.500
0.328 0.172 0.500
0.385 0.885 0.500
0.500 0.500 0.000
0.615 0.115 0.500
0.672 0.828 0.500
0.828 0.328 0.500
0.885 0.615 0.500
0.008 0.852 0.500
0.066 0.566 0.000
0.148 0.008 0.500
0.167 0.199 0.000
0.199 0.833 0.000
0.301 0.333 0.000
0.333 0.699 0.000
0.352 0.508 0.500
0.434 0.066 0.000
0.492 0.352 0.500
0.508 0.648 0.500
0.566 0.934 0.000
0.648 0.492 0.500
0.667 0.301 0.000
0.699 0.667 0.000
0.801 0.167 0.000
0.833 0.801 0.000
0.852 0.992 0.500
0.934 0.434 0.000
0.992 0.148 0.500
0.018 0.754 0.000
0.246 0.018 0.000
0.254 0.518 0.000
0.482 0.254 0.000
0.518 0.746 0.000
0.746 0.482 0.000
0.754 0.982 0.000
0.982 0.246 0.000

***

7.
PBE Mg2SiIr, relaxed; energy = -0.339 Ry/atom
1.0
6.226 0.000 0.000
0.000 6.226 0.000
0.000 0.000 6.226
Mg Si Ir
8 4 4
direct
0.000 0.000 0.000
0.000 0.500 0.500
0.250 0.250 0.250
0.250 0.750 0.750
0.500 0.000 0.500
0.500 0.500 0.000
0.750 0.250 0.750
0.750 0.750 0.250
0.000 0.000 0.500
0.000 0.500 0.000
0.500 0.000 0.000
0.500 0.500 0.500
0.250 0.250 0.750
0.250 0.750 0.250
0.750 0.250 0.250
0.750 0.750 0.750

***

8.
PBE MgSiIr, relaxed; energy = -0.400 Ry/atom
1.0
4.090 0.000 0.000
0.000 4.090 0.000
0.000 0.000 5.956
Mg Si Ir
2 2 2
direct
0.000 0.000 0.250
0.000 0.000 0.750
0.000 0.500 0.000
0.500 0.000 0.500
0.500 0.500 0.250
0.500 0.500 0.750

***

9.
PBE Mg2Si2Ir, relaxed; energy = -0.370 Ry/atom
1.0
6.248 0.000 0.000
0.000 6.248 0.000
0.000 0.000 4.177
Mg Si Ir
4 4 2
direct
0.178 0.322 0.000
0.322 0.822 0.000
0.678 0.178 0.000
0.822 0.678 0.000
0.133 0.633 0.500
0.367 0.133 0.500
0.633 0.867 0.500
0.867 0.367 0.500
0.000 0.000 0.500
0.500 0.500 0.500

***

10.
PBE Mg15Si2Ir5, relaxed; energy = -0.293 Ry/atom
1.0
13.757 0.000 0.000
0.000 13.757 0.000
0.000 0.000 8.799
Mg Si Ir
60 8 20
direct
0.000 0.000 0.000
0.000 0.500 0.500
0.005 0.517 0.158
0.017 0.995 0.658
0.047 0.697 0.639
0.090 0.194 0.856
0.118 0.823 0.384
0.119 0.189 0.524
0.119 0.822 0.888
0.121 0.164 0.185
0.164 0.379 0.315
0.177 0.618 0.884
0.178 0.619 0.388
0.189 0.381 0.976
0.194 0.410 0.644
0.197 0.953 0.139
0.303 0.547 0.139
0.306 0.090 0.644
0.311 0.119 0.976
0.322 0.881 0.388
0.323 0.882 0.884
0.336 0.121 0.315
0.379 0.336 0.185
0.381 0.311 0.524
0.381 0.678 0.888
0.382 0.677 0.384
0.410 0.306 0.856
0.453 0.803 0.639
0.483 0.505 0.658
0.495 0.983 0.158
0.500 0.000 0.500
0.500 0.500 0.000
0.505 0.017 0.842
0.517 0.495 0.342
0.547 0.197 0.361
0.590 0.694 0.144
0.618 0.323 0.616
0.619 0.322 0.112
0.619 0.689 0.476
0.621 0.664 0.815
0.664 0.879 0.685
0.677 0.118 0.116
0.678 0.119 0.612
0.689 0.881 0.024
0.694 0.910 0.356
0.697 0.453 0.861
0.803 0.047 0.861
0.806 0.590 0.356
0.811 0.619 0.024
0.822 0.381 0.612
0.823 0.382 0.116
0.836 0.621 0.685
0.879 0.836 0.815
0.881 0.178 0.112
0.881 0.811 0.476
0.882 0.177 0.616
0.910 0.806 0.144
0.953 0.303 0.361
0.983 0.005 0.342
0.995 0.483 0.842
0.084 0.702 0.135
0.202 0.916 0.635
0.298 0.584 0.635
0.416 0.798 0.135
0.584 0.202 0.865
0.702 0.416 0.365
0.798 0.084 0.365
0.916 0.298 0.865
0.015 0.330 0.651
0.018 0.326 0.076
0.170 0.015 0.849
0.174 0.018 0.424
0.250 0.750 0.136
0.250 0.750 0.636
0.326 0.482 0.424
0.330 0.485 0.849
0.482 0.174 0.076
0.485 0.170 0.651
0.515 0.830 0.349
0.518 0.826 0.924
0.670 0.515 0.151
0.674 0.518 0.576
0.750 0.250 0.364
0.750 0.250 0.864
0.826 0.982 0.576
0.830 0.985 0.151
0.982 0.674 0.924
0.985 0.670 0.349

***

11.
PBE Mg4SiSnIr2, relaxed; energy = -0.339 Ry/atom
1.0
4.408 0.000 0.000
-2.204 3.818 0.000
0.000 0.000 8.702
Mg Si Sn Ir
4 1 1 2
direct
0.000 0.000 0.166
0.000 0.000 0.834
0.667 0.333 0.323
0.667 0.333 0.677
0.333 0.667 0.000
0.333 0.667 0.500
0.000 0.000 0.500
0.667 0.333 0.000

***

12.
PBE Mg3ZnSi2Ir2, relaxed; energy = -0.358 Ry/atom
1.0
4.166 0.000 0.000
-2.083 3.608 0.000
0.000 0.000 8.693
Mg Zn Si Ir
3 1 2 2
direct
0.000 0.000 0.000
0.000 0.000 0.346
0.333 0.667 0.829
0.333 0.667 0.496
0.667 0.333 0.166
0.667 0.333 0.658
0.000 0.000 0.664
0.333 0.667 0.170